This record from Alexandria via LeMat-Bulk describes a geometry-optimized Pr2HoTh3S6 structure. The functional is GGA-PBE.

a = 4.031 Å, b = 8.092 Å, c = 9.061 Å
α = 103.85°, β = 102.85°, γ = 90.00°
Fractional coordinates of all 12 atoms:
Pr: 0.834 0.667 0.669
Pr: 0.166 0.333 0.331
Ho: 0.500 0.000 0.000
Th: 0.500 0.500 0.000
Th: 0.831 0.166 0.662
Th: 0.169 0.834 0.338
S: 0.339 0.922 0.677
S: 0.667 0.585 0.333
S: 0.661 0.078 0.323
S: 0.997 0.238 0.995
S: 0.003 0.762 0.005
S: 0.333 0.415 0.667

Properties
calculated total energy = -83.9 eV for the cell shown
SG = C2/m, No. 12

***

This record from Alexandria via LeMat-Bulk describes a geometry-optimized Pr4HoTh3S8 structure. The functional is GGA-PBE.

a = 8.088 Å, b = 8.129 Å, c = 8.087 Å
α = 119.83°, β = 120.00°, γ = 90.00°
Fractional coordinates of all 16 atoms:
Pr: 0.500 0.000 0.000
Pr: 0.500 0.000 0.500
Pr: 0.000 0.000 0.000
Pr: 0.000 0.000 0.500
Ho: 0.000 0.500 0.000
Th: 0.500 0.500 0.000
Th: 0.500 0.500 0.500
Th: 0.000 0.500 0.500
S: 0.243 0.740 0.997
S: 0.243 0.740 0.486
S: 0.251 0.253 0.502
S: 0.754 0.740 0.997
S: 0.246 0.260 0.003
S: 0.749 0.747 0.498
S: 0.757 0.260 0.514
S: 0.757 0.260 0.003

Properties
calculated total energy = -110.0 eV for the cell shown
SG = R-3m, No. 166

***

This record from Alexandria via LeMat-Bulk describes a geometry-optimized Pr4Ho3ThS8 structure. The functional is GGA-PBE.

a = 7.997 Å, b = 8.074 Å, c = 7.997 Å
α = 119.69°, β = 120.00°, γ = 90.00°
Fractional coordinates of all 16 atoms:
Pr: 0.500 0.000 0.000
Pr: 0.500 0.000 0.500
Pr: 0.000 0.000 0.000
Pr: 0.000 0.000 0.500
Ho: 0.500 0.500 0.000
Ho: 0.500 0.500 0.500
Ho: 0.000 0.500 0.500
Th: 0.000 0.500 0.000
S: 0.248 0.734 0.986
S: 0.248 0.734 0.496
S: 0.257 0.271 0.514
S: 0.738 0.734 0.986
S: 0.262 0.266 0.014
S: 0.743 0.729 0.486
S: 0.752 0.266 0.504
S: 0.752 0.266 0.014

Properties
calculated total energy = -104.9 eV for the cell shown
SG = R-3m, No. 166